Record 1
# AcThSnAu

An optimized crystal structure of AcThSnAu (PBE, Alexandria via LeMat-Bulk).

```
AcThSnAu
1.0
0.000 3.902 3.902
3.902 0.000 3.902
3.902 3.902 0.000
Ac Th Sn Au
1 1 1 1
direct
0.000 0.000 0.000 Ac
0.500 0.500 0.500 Th
0.750 0.750 0.750 Sn
0.250 0.250 0.250 Au
```

V: 29.706 Å³/atom
Magnetization: 0.0 μB per cell
Symmetry: No. 216
Final energy: -5.206 eV/atom

Record 2
# SmZn4Ru

An optimized crystal structure of SmZn4Ru (PBE, Alexandria via LeMat-Bulk).

```
SmZn4Ru
1.0
7.892 0.000 0.000
0.000 4.025 0.000
0.000 0.000 6.874
Sm Zn Ru
2 8 2
direct
0.250 0.000 0.113 Sm
0.750 0.000 0.887 Sm
0.000 0.000 0.500 Zn
0.053 0.500 0.806 Zn
0.250 0.500 0.465 Zn
0.447 0.500 0.806 Zn
0.500 0.000 0.500 Zn
0.553 0.500 0.194 Zn
0.750 0.500 0.535 Zn
0.947 0.500 0.194 Zn
0.250 0.000 0.719 Ru
0.750 0.000 0.281 Ru
```

V: 18.194 Å³/atom
Magnetization: 0.0 μB per cell
Symmetry: No. 51
Final energy: -3.419 eV/atom

Record 3
# YGePt3

An optimized crystal structure of YGePt3 (PBE, Alexandria via LeMat-Bulk).

```
YGePt3
1.0
6.292 0.000 0.000
-3.146 5.449 0.000
0.000 0.000 5.553
Y Ge Pt
2 2 6
direct
0.333 0.667 0.250 Y
0.667 0.333 0.750 Y
0.000 0.000 0.000 Ge
0.000 0.000 0.500 Ge
0.191 0.383 0.750 Pt
0.191 0.809 0.750 Pt
0.383 0.191 0.250 Pt
0.617 0.809 0.750 Pt
0.809 0.191 0.250 Pt
0.809 0.617 0.250 Pt
```

V: 19.038 Å³/atom
Magnetization: 0.0 μB per cell
Symmetry: No. 194
Final energy: -6.619 eV/atom

| no. | energy relative to the elements (eV per atom) |
| --- | --- |
| 1 | -0.504 |
| 2 | -0.237 |
| 3 | -0.778 |